1.
PBE-GGA Zr2RhAu2, relaxed; calculated formation energy = -0.4120 eV/atom; calculated density = 11.55 Mg/m³; D(E_F) = 7.10 states/eV/cell; SG = P4/mbm (127); calculated volume = 97.6 Å³/f.u.
1.0
7.400 0.000 0.000
0.000 7.400 0.000
0.000 0.000 3.566
Zr Rh Au
4 2 4
Cartesian
1.291 2.409 0.000
2.409 6.109 0.000
4.991 1.291 0.000
6.109 4.991 0.000
0.000 0.000 1.783
3.700 3.700 1.783
0.970 4.669 1.783
2.730 0.970 1.783
4.669 6.430 1.783
6.430 2.730 1.783


2.
PBE-GGA Zr2RhAu, relaxed; calculated formation energy = -0.2101 eV/atom; calculated density = 9.89 Mg/m³; D(E_F) = 4.28 states/eV/cell; SG = R3m (160); calculated volume = 81.0 Å³/f.u.
1.0
1.626 0.939 8.843
-1.626 0.939 8.843
0.000 -1.878 8.843
Zr Rh Au
2 1 1
Cartesian
0.000 0.000 0.000
0.000 0.000 6.261
0.000 0.000 13.246
0.000 0.000 19.876


3.
PBE-GGA Zr2Rh3Au2, relaxed; calculated formation energy = -0.5491 eV/atom; calculated density = 11.55 Mg/m³; D(E_F) = 4.57 states/eV/cell; SG = P-1 (2); calculated volume = 127.3 Å³/f.u.
1.0
4.537 0.000 0.000
-2.260 3.954 0.000
-0.019 -2.584 7.095
Zr Rh Au
2 3 2
Cartesian
-0.007 0.026 2.357
2.264 1.344 4.738
-0.006 0.022 5.089
2.259 -1.292 3.548
2.263 1.349 2.006
-0.001 2.661 0.745
2.258 -1.290 6.350


4.
PBE-GGA ZrRh3Au, relaxed; calculated formation energy = 0.9361 eV/atom; calculated density = 9.19 Mg/m³; E above lowest polymorph = 0 meV per atom; D(E_F) = 4.80 states/eV/cell; SG = Pm-3m (221); calculated volume = 107.8 Å³/f.u.
1.0
4.760 0.000 0.000
0.000 4.760 0.000
0.000 0.000 4.760
Zr Rh Au
1 3 1
Cartesian
0.000 0.000 0.000
0.000 0.000 2.380
0.000 2.380 0.000
2.380 0.000 0.000
2.380 2.380 2.380


5.
PBE-GGA ZrRhAu, relaxed; calculated formation energy = -0.4549 eV/atom; calculated density = 12.07 Mg/m³; E above lowest polymorph = 203 meV per atom; D(E_F) = 2.40 states/eV/cell; SG = P3m1 (156); calculated volume = 53.8 Å³/f.u.
1.0
4.562 0.000 0.000
-2.281 3.951 0.000
0.000 0.000 2.985
Zr Rh Au
1 1 1
Cartesian
0.000 0.000 0.000
0.000 2.634 2.310
2.281 1.317 1.195


6.
PBE-GGA ZrRhAu, relaxed; calculated formation energy = -0.3266 eV/atom; calculated density = 10.87 Mg/m³; E above lowest polymorph = 332 meV per atom; D(E_F) = 0.89 states/eV/cell; SG = P3m1 (156); calculated volume = 59.7 Å³/f.u.
1.0
3.484 0.000 0.000
-1.742 3.018 0.000
0.000 0.000 5.680
Zr Rh Au
1 1 1
Cartesian
0.000 0.000 0.000
1.742 1.006 4.053
0.000 2.012 2.077


7.
PBE-GGA ZrRhAu, relaxed; calculated formation energy = -0.6165 eV/atom; calculated density = 12.13 Mg/m³; E above lowest polymorph = 42 meV per atom; D(E_F) = 4.22 states/eV/cell; SG = P6_3/mmc (194); calculated volume = 53.5 Å³/f.u.
1.0
4.736 0.000 0.000
-2.368 4.101 0.000
0.000 0.000 5.512
Zr Rh Au
2 2 2
Cartesian
0.000 2.734 1.378
2.368 1.367 4.134
0.000 2.734 4.134
2.368 1.367 1.378
0.000 0.000 0.000
0.000 0.000 2.756


8.
PBE-GGA ZrRhAu2, relaxed; calculated formation energy = -0.5618 eV/atom; calculated density = 13.96 Mg/m³; D(E_F) = 2.00 states/eV/cell; SG = I-4m2 (119); calculated volume = 70.0 Å³/f.u.
1.0
-2.059 2.059 4.126
2.059 -2.059 4.126
2.059 2.059 -4.126
Zr Rh Au
1 1 2
Cartesian
0.000 0.000 0.000
0.000 2.059 2.063
2.059 0.000 2.063
0.000 0.000 4.126